Material: AgTePd3
Method: DFT, GGA-PBE
State: optimized geometry

Energy relative to the lowest polymorph listed for this composition = 76 meV/atom
Total magnetic moment = 0.00 Bohr magnetons per cell
DOS at the Fermi energy = 7.04 states/eV/cell
Mass density = 9.73 Mg/m³
Formation energy (no corrections) = -11.7 kJ/mol of atoms

Unit cell a=5.769 b=6.984 c=4.700 alpha=90.00 beta=90.00 gamma=90.00
Space group Pmn2_1 (No. 31)
One atom of each set of equivalent atoms:
Ag: 0.000 0.126 0.000 [2 per cell]
Te: 0.000 0.543 0.354 [2 per cell]
Pd: 0.000 0.896 0.507 [2 per cell]
Pd: 0.246 0.758 0.996 [4 per cell]